DFT (PBE) results for Ca3YHg after structural relaxation.

As for the energy of formation from the pure elements: 76.3 kJ/mol of atoms. The density of states at the Fermi level is 4.79 states/eV/cell.

The structure belongs to space group Pm-3m (No. 221); the cell edges are 6.310, 6.310 and 6.310 Å and the angles 90.00°, 90.00° and 90.00°. The distinct sites, in fractional coordinates, are Ca at (0.000, 0.000, 0.500), Y at (0.000, 0.000, 0.000) and Hg at (0.500, 0.500, 0.500).

=====

DFT (PBE) results for HfMg2Ag after structural relaxation.

As for the energy of formation from the pure elements: -2.9 kJ/mol of atoms. The density of states at the Fermi level is 3.00 states/eV/cell.

The structure belongs to space group P4/mmm (No. 123); the cell edges are 3.076, 3.076 and 8.550 Å and the angles 90.00°, 90.00° and 90.00°. The distinct sites, in fractional coordinates, are Hf at (0.000, 0.000, 0.000), Mg at (0.500, 0.500, 0.271) and Ag at (0.000, 0.000, 0.500).